(1)
LiZr3Tl4S8 | GGA-PBE | relaxed

Values from the calculation:
formation energy (no corrections)	-17.38	eV per formula unit
symmetry	R-3m (166)
density	6.003	g/cm³

Geometry as CIF:
```
data_LiZr3Tl4S8
_chemical_formula_sum 'Li1 Zr3 Tl4 S8'
_space_group_name_H-M_alt 'P 1'
_space_group_IT_number 1
_space_group_name_Hall 'P 1'
_cell_length_a 7.564
_cell_length_b 8.730
_cell_length_c 7.567
_cell_angle_alpha 115.68
_cell_angle_beta 119.99
_cell_angle_gamma 90.00
loop_
_atom_site_label
_atom_site_type_symbol
_atom_site_fract_x
_atom_site_fract_y
_atom_site_fract_z
_atom_site_occupancy
Li1 Li 0.000 0.500 0.000 1
Zr1 Zr 0.500 0.500 0.000 1
Zr2 Zr 0.500 0.500 0.500 1
Zr3 Zr 0.000 0.500 0.500 1
Tl1 Tl 0.500 0.000 0.000 1
Tl2 Tl 0.500 0.000 0.500 1
Tl3 Tl 0.000 0.000 0.000 1
Tl4 Tl 0.000 0.000 0.500 1
S1 S 0.234 0.691 0.957 1
S2 S 0.234 0.691 0.469 1
S3 S 0.269 0.305 0.537 1
S4 S 0.722 0.691 0.957 1
S5 S 0.278 0.309 0.043 1
S6 S 0.731 0.695 0.463 1
S7 S 0.766 0.309 0.531 1
S8 S 0.766 0.309 0.043 1
```

=====

(2)
CaAcLaIn | GGA-PBE | relaxed

Values from the calculation:
energy of formation from the pure elements	-0.050	eV per atom
symmetry	F-43m (216)
density	6.190	g/cm³

Geometry as CIF:
```
data_CaAcLaIn
_chemical_formula_sum 'Ca1 Ac1 La1 In1'
_space_group_name_H-M_alt 'P 1'
_space_group_IT_number 1
_space_group_name_Hall 'P 1'
_cell_length_a 5.824
_cell_length_b 5.824
_cell_length_c 5.824
_cell_angle_alpha 60.00
_cell_angle_beta 60.00
_cell_angle_gamma 60.00
loop_
_atom_site_label
_atom_site_type_symbol
_atom_site_fract_x
_atom_site_fract_y
_atom_site_fract_z
_atom_site_occupancy
Ac1 Ac 0.000 0.000 0.000 1
In1 In 0.500 0.500 0.500 1
Ca1 Ca 0.250 0.250 0.250 1
La1 La 0.750 0.750 0.750 1
```

=====

(3)
SmCd9Au2 | GGA-PBE | relaxed

Values from the calculation:
energy of formation from the pure elements	-0.192	eV per atom
symmetry	I4_1/amd (141)
density	9.708	g/cm³

Geometry as CIF:
```
data_SmCd9Au2
_chemical_formula_sum 'Sm2 Cd18 Au4'
_space_group_name_H-M_alt 'P 1'
_space_group_IT_number 1
_space_group_name_Hall 'P 1'
_cell_length_a 7.554
_cell_length_b 9.205
_cell_length_c 9.205
_cell_angle_alpha 80.31
_cell_angle_beta 65.77
_cell_angle_gamma 65.77
loop_
_atom_site_label
_atom_site_type_symbol
_atom_site_fract_x
_atom_site_fract_y
_atom_site_fract_z
_atom_site_occupancy
Sm1 Sm 0.500 0.000 0.000 1
Sm2 Sm 0.250 0.500 0.500 1
Cd1 Cd 0.750 0.500 0.500 1
Cd2 Cd 0.000 0.000 0.000 1
Cd3 Cd 0.998 0.921 0.680 1
Cd4 Cd 0.599 0.079 0.320 1
Cd5 Cd 0.669 0.180 0.579 1
Cd6 Cd 0.428 0.820 0.421 1
Cd7 Cd 0.752 0.820 0.579 1
Cd8 Cd 0.151 0.180 0.421 1
Cd9 Cd 0.081 0.921 0.320 1
Cd10 Cd 0.322 0.079 0.680 1
Cd11 Cd 0.752 0.579 0.820 1
Cd12 Cd 0.151 0.421 0.180 1
Cd13 Cd 0.081 0.320 0.921 1
Cd14 Cd 0.322 0.680 0.079 1
Cd15 Cd 0.998 0.680 0.921 1
Cd16 Cd 0.599 0.320 0.079 1
Cd17 Cd 0.669 0.579 0.180 1
Cd18 Cd 0.428 0.421 0.820 1
Au1 Au 0.875 0.250 0.750 1
Au2 Au 0.875 0.750 0.250 1
Au3 Au 0.875 0.250 0.250 1
Au4 Au 0.375 0.750 0.750 1
```

=====

(4)
Rb2LiOs | GGA-PBE | relaxed

Values from the calculation:
energy of formation from the pure elements	1.456	eV per atom
symmetry	Fm-3m (225)
density	4.404	g/cm³

Geometry as CIF:
```
data_Rb2LiOs
_chemical_formula_sum 'Rb2 Li1 Os1'
_space_group_name_H-M_alt 'P 1'
_space_group_IT_number 1
_space_group_name_Hall 'P 1'
_cell_length_a 5.812
_cell_length_b 5.812
_cell_length_c 5.812
_cell_angle_alpha 60.00
_cell_angle_beta 60.00
_cell_angle_gamma 60.00
loop_
_atom_site_label
_atom_site_type_symbol
_atom_site_fract_x
_atom_site_fract_y
_atom_site_fract_z
_atom_site_occupancy
Os1 Os 0.500 0.500 0.500 1
Rb1 Rb 0.250 0.250 0.250 1
Rb2 Rb 0.750 0.750 0.750 1
Li1 Li 0.000 0.000 0.000 1
```

=====

(5)
HoPaCuHg | GGA-PBE | relaxed

Values from the calculation:
energy of formation from the pure elements	0.066	eV per atom
symmetry	F-43m (216)
density	11.670	g/cm³

Geometry as CIF:
```
data_HoPaCuHg
_chemical_formula_sum 'Ho1 Pa1 Cu1 Hg1'
_space_group_name_H-M_alt 'P 1'
_space_group_IT_number 1
_space_group_name_Hall 'P 1'
_cell_length_a 5.102
_cell_length_b 5.102
_cell_length_c 5.102
_cell_angle_alpha 60.00
_cell_angle_beta 60.00
_cell_angle_gamma 60.00
loop_
_atom_site_label
_atom_site_type_symbol
_atom_site_fract_x
_atom_site_fract_y
_atom_site_fract_z
_atom_site_occupancy
Pa1 Pa 0.750 0.750 0.750 1
Hg1 Hg 0.000 0.000 0.000 1
Cu1 Cu 0.500 0.500 0.500 1
Ho1 Ho 0.250 0.250 0.250 1
```

=====

(6)
Y2CoBiBr | GGA-PBE | relaxed

Values from the calculation:
formation energy (no corrections)	-1.81	eV per formula unit
symmetry	P4/mmm (123)
density	6.331	g/cm³

Geometry as CIF:
```
data_Y2CoBiBr
_chemical_formula_sum 'Y2 Co1 Bi1 Br1'
_space_group_name_H-M_alt 'P 1'
_space_group_IT_number 1
_space_group_name_Hall 'P 1'
_cell_length_a 5.358
_cell_length_b 4.803
_cell_length_c 5.358
_cell_angle_alpha 90.00
_cell_angle_beta 90.00
_cell_angle_gamma 90.00
loop_
_atom_site_label
_atom_site_type_symbol
_atom_site_fract_x
_atom_site_fract_y
_atom_site_fract_z
_atom_site_occupancy
Y1 Y 0.000 0.000 0.500 1
Y2 Y 0.500 0.000 0.000 1
Co1 Co 0.000 0.000 0.000 1
Bi1 Bi 0.000 0.500 0.000 1
Br1 Br 0.500 0.500 0.500 1
```